Here is a relaxed structure of AcCoF6 from the Alexandria database. Energies are from GGA+U.

E = -5.61 eV per atom
Calculated volume = 13.2 Å³/atom
Spin magnetization = 3.975 μB/f.u.
Fermi-level density of states = 0.0 states/eV per cell

Unit cell a=6.139 b=7.146 c=4.936 alpha=90.00 beta=102.15 gamma=90.00
Space group C2/m (No. 12)
Inequivalent atoms, fractional coordinates:
Ac: 0.000 0.000 0.000
Co: 0.000 0.500 0.500
F: 0.113 0.319 0.792
F: 0.213 0.000 0.571